# 1
Compound: Er2Tm3In
Source: Alexandria
Functional: PBE-GGA
Structure: optimized geometry

## Properties
Its magnetization is 0.0 μB/f.u. The energy of formation is -0.16 eV per atom. For the total energy, the calculation gives -0.1608 hartree per atom. The density of states at the Fermi level is 5.4 states/eV/cell.

Unit cell a=7.7845 b=7.7845 c=4.8161 alpha=90.00 beta=90.00 gamma=144.00
Sites, in units of the cell vectors:
Er (0.1623, 0.8377, 0.0000)
Er (0.8377, 0.1623, 0.0000)
Tm (0.0000, 0.0000, 0.5000)
Tm (0.3315, 0.6685, 0.5000)
Tm (0.6685, 0.3315, 0.5000)
In (0.5000, 0.5000, 0.0000)



# 2
Compound: Er7TmIn3
Source: Alexandria
Functional: PBE-GGA
Structure: optimized geometry

## Properties
Its magnetization is 0.0 μB/f.u. The energy of formation is -0.01 eV per atom. For the total energy, the calculation gives -0.1494 hartree per atom. The density of states at the Fermi level is 12.9 states/eV/cell.

Unit cell a=8.0712 b=8.0712 c=5.7344 alpha=109.81 beta=109.81 gamma=91.69
Sites, in units of the cell vectors:
Er (0.0000, 0.0000, 0.0000)
Er (0.1080, 0.5306, 0.3147)
Er (0.3267, 0.3267, 0.8325)
Er (0.4694, 0.8920, 0.6852)
Er (0.5306, 0.1080, 0.3147)
Er (0.6733, 0.6733, 0.1675)
Er (0.8920, 0.4694, 0.6852)
Tm (0.0000, 0.0000, 0.5000)
In (0.2660, 0.7340, 0.0000)
In (0.5000, 0.5000, 0.5000)
In (0.7340, 0.2660, 0.0000)



# 3
Compound: Er6TmIn5
Source: Alexandria
Functional: PBE-GGA
Structure: optimized geometry

## Properties
Its magnetization is 0.0 μB/f.u. The energy of formation is -0.37 eV per atom. For the total energy, the calculation gives -0.1531 hartree per atom. The density of states at the Fermi level is 11.7 states/eV/cell.

Unit cell a=8.9726 b=8.9726 c=8.9726 alpha=148.21 beta=121.40 gamma=68.23
Sites, in units of the cell vectors:
Er (0.0682, 0.3305, 0.7377)
Er (0.2285, 0.0000, 0.2285)
Er (0.4073, 0.6695, 0.7377)
Er (0.5927, 0.3305, 0.2623)
Er (0.7715, 0.0000, 0.7715)
Er (0.9318, 0.6695, 0.2623)
Tm (0.5000, 0.5000, 0.0000)
In (0.0000, 0.5000, 0.5000)
In (0.1769, 0.1769, 0.0000)
In (0.3489, 0.8489, 0.5000)
In (0.6511, 0.1511, 0.5000)
In (0.8231, 0.8231, 0.0000)



# 4
Compound: ErTmIn3
Source: Alexandria
Functional: PBE-GGA
Structure: optimized geometry

## Properties
Its magnetization is 0.0 μB/f.u. The energy of formation is 0.16 eV per atom. For the total energy, the calculation gives -0.1208 hartree per atom. The density of states at the Fermi level is 7.6 states/eV/cell.

Unit cell a=11.6023 b=11.6023 c=11.6023 alpha=151.08 beta=151.08 gamma=41.36
Sites, in units of the cell vectors:
Er (0.0000, 0.0000, 0.0000)
Er (0.7500, 0.2500, 0.5000)
Tm (0.4190, 0.4190, 0.0000)
Tm (0.5810, 0.5810, 0.0000)
In (0.0095, 0.5095, 0.5000)
In (0.3749, 0.1273, 0.2476)
In (0.4905, 0.9905, 0.5000)
In (0.8727, 0.1202, 0.2476)
In (0.8727, 0.6251, 0.7524)
In (0.8798, 0.1273, 0.7524)



# 5
Compound: ErTm6In6
Source: Alexandria
Functional: PBE-GGA
Structure: optimized geometry

## Properties
Its magnetization is 0.0 μB/f.u. The energy of formation is -0.28 eV per atom. For the total energy, the calculation gives -0.1456 hartree per atom. The density of states at the Fermi level is 13.0 states/eV/cell.

Unit cell a=6.1990 b=6.1990 c=10.6064 alpha=90.00 beta=90.00 gamma=120.00
Sites, in units of the cell vectors:
Er (0.0000, 0.0000, 0.0000)
Tm (0.0000, 0.0000, 0.3406)
Tm (0.0000, 0.0000, 0.6594)
Tm (0.3333, 0.6667, 0.0000)
Tm (0.3333, 0.6667, 0.5000)
Tm (0.6667, 0.3333, 0.0000)
Tm (0.6667, 0.3333, 0.5000)
In (0.0000, 0.5000, 0.2457)
In (0.0000, 0.5000, 0.7543)
In (0.5000, 0.0000, 0.2457)
In (0.5000, 0.0000, 0.7543)
In (0.5000, 0.5000, 0.2457)
In (0.5000, 0.5000, 0.7543)



# 6
Compound: ErTm5In6
Source: Alexandria
Functional: PBE-GGA
Structure: optimized geometry

## Properties
Its magnetization is 0.0 μB/f.u. The energy of formation is -0.43 eV per atom. For the total energy, the calculation gives -0.1484 hartree per atom. The density of states at the Fermi level is 6.0 states/eV/cell.

Unit cell a=8.3421 b=8.3421 c=7.3887 alpha=90.00 beta=90.00 gamma=143.11
Sites, in units of the cell vectors:
Er (0.0000, 0.0000, 0.0000)
Tm (0.0000, 0.0000, 0.5000)
Tm (0.3332, 0.6668, 0.0000)
Tm (0.3337, 0.6663, 0.5000)
Tm (0.6663, 0.3337, 0.5000)
Tm (0.6668, 0.3332, 0.0000)
In (0.1670, 0.8330, 0.2507)
In (0.1670, 0.8330, 0.7493)
In (0.5000, 0.5000, 0.2503)
In (0.5000, 0.5000, 0.7497)
In (0.8330, 0.1670, 0.2507)
In (0.8330, 0.1670, 0.7493)



# 7
Compound: Er4TmIn3
Source: Alexandria
Functional: PBE-GGA
Structure: optimized geometry

## Properties
Its magnetization is 0.0 μB/f.u. The energy of formation is -0.33 eV per atom. For the total energy, the calculation gives -0.1542 hartree per atom. The density of states at the Fermi level is 8.6 states/eV/cell.

Unit cell a=9.9235 b=9.9235 c=9.9235 alpha=152.02 beta=152.02 gamma=39.98
Sites, in units of the cell vectors:
Er (0.1311, 0.6311, 0.5000)
Er (0.3689, 0.8689, 0.5000)
Er (0.6311, 0.1311, 0.5000)
Er (0.8689, 0.3689, 0.5000)
Tm (0.0000, 0.0000, 0.0000)
In (0.2523, 0.2523, 0.0000)
In (0.5000, 0.5000, 0.0000)
In (0.7477, 0.7477, 0.0000)



# 8
Compound: Er3Tm5In2
Source: Alexandria
Functional: PBE-GGA
Structure: optimized geometry

## Properties
Its magnetization is 0.0 μB/f.u. The energy of formation is 0.12 eV per atom. For the total energy, the calculation gives -0.1482 hartree per atom. The density of states at the Fermi level is 24.8 states/eV/cell.

Unit cell a=10.4660 b=10.4660 c=10.4660 alpha=106.23 beta=84.18 gamma=145.27
Sites, in units of the cell vectors:
Er (0.2265, 0.1109, 0.3373)
Er (0.2500, 0.2500, 0.0000)
Er (0.2735, 0.6109, 0.8844)
Er (0.7265, 0.3891, 0.1156)
Er (0.7500, 0.7500, 0.0000)
Er (0.7735, 0.8891, 0.6627)
Tm (0.1639, 0.3770, 0.5409)
Tm (0.2500, 0.5007, 0.2507)
Tm (0.2500, 0.7500, 0.5000)
Tm (0.2500, 0.9993, 0.7493)
Tm (0.3361, 0.8770, 0.2131)
Tm (0.6639, 0.1230, 0.7869)
Tm (0.7500, 0.0007, 0.2507)
Tm (0.7500, 0.2500, 0.5000)
Tm (0.7500, 0.4993, 0.7493)
Tm (0.8361, 0.6230, 0.4591)
In (0.1471, 0.8629, 0.0100)
In (0.3529, 0.3629, 0.7159)
In (0.6471, 0.6371, 0.2841)
In (0.8529, 0.1371, 0.9900)



# 9
Compound: Er3TmIn3
Source: Alexandria
Functional: PBE-GGA
Structure: optimized geometry

## Properties
Its magnetization is 0.0 μB/f.u. The energy of formation is -0.31 eV per atom. For the total energy, the calculation gives -0.1499 hartree per atom. The density of states at the Fermi level is 10.9 states/eV/cell.

Unit cell a=9.2191 b=9.2191 c=5.1485 alpha=90.00 beta=90.00 gamma=120.00
Sites, in units of the cell vectors:
Er (0.0055, 0.2333, 0.2500)
Er (0.2278, 0.9945, 0.2500)
Er (0.2333, 0.2278, 0.7500)
Er (0.7667, 0.7722, 0.2500)
Er (0.7722, 0.0055, 0.7500)
Er (0.9945, 0.7667, 0.7500)
Tm (0.3333, 0.6667, 0.2500)
Tm (0.6667, 0.3333, 0.7500)
In (0.0737, 0.4557, 0.7500)
In (0.3819, 0.9263, 0.7500)
In (0.4557, 0.3819, 0.2500)
In (0.5443, 0.6181, 0.7500)
In (0.6181, 0.0737, 0.2500)
In (0.9263, 0.5443, 0.2500)



# 10
Compound: Er5Tm12In2
Source: Alexandria
Functional: PBE-GGA
Structure: optimized geometry

## Properties
Its magnetization is 0.0 μB/f.u. The energy of formation is 0.00 eV per atom. For the total energy, the calculation gives -0.1586 hartree per atom. The density of states at the Fermi level is 27.0 states/eV/cell.

Unit cell a=8.9001 b=8.9001 c=8.1624 alpha=90.85 beta=90.85 gamma=61.80
Sites, in units of the cell vectors:
Er (0.0000, 0.0000, 0.0000)
Er (0.2360, 0.2360, 0.0806)
Er (0.3100, 0.3100, 0.4960)
Er (0.6900, 0.6900, 0.5040)
Er (0.7640, 0.7640, 0.9194)
Tm (0.0343, 0.6634, 0.2603)
Tm (0.0878, 0.0878, 0.3885)
Tm (0.1778, 0.5719, 0.8407)
Tm (0.3366, 0.9657, 0.7397)
Tm (0.4281, 0.8222, 0.1593)
Tm (0.4472, 0.4472, 0.1754)
Tm (0.5528, 0.5528, 0.8246)
Tm (0.5719, 0.1778, 0.8407)
Tm (0.6634, 0.0343, 0.2603)
Tm (0.8222, 0.4281, 0.1593)
Tm (0.9122, 0.9122, 0.6115)
Tm (0.9657, 0.3366, 0.7397)
In (0.3162, 0.6838, 0.5000)
In (0.6838, 0.3162, 0.5000)